BaSc2Ir2, relaxed, DFT PBE; crystal system = tetragonal; energy relative to the lowest polymorph listed for this composition = 185.4 meV per atom
1.0
-4.672 5.061 -4.573
-6.300 -5.327 0.541
-0.998 1.446 2.620
Sc Ir Ba
4 4 2
Cartesian
-5.106 -1.976 1.045 Sc
-8.919 -0.694 -1.115 Sc
-6.864 3.156 -2.457 Sc
-3.051 1.874 -0.297 Sc
-6.990 -2.756 -1.140 Ir
-8.066 0.839 -3.535 Ir
-3.982 2.491 -2.891 Ir
-2.906 -1.105 -0.497 Ir
0.000 0.000 0.000 Ba
-5.486 -0.133 -2.016 Ba